This record from Alexandria via LeMat-Bulk describes a geometry-optimized CeCoGeIr structure. The functional is PBE-GGA.

Electronic total energy = -55.4 eV for the cell shown
Energy relative to the elements = -298.9 meV/atom
Total magnetic moment = 0.30 μB/atom

```
data_CeCoGeIr
_symmetry_space_group_name_H-M 'I m m 2'
_symmetry_Int_Tables_number 44
_symmetry_space_group_name_Hall 'I 2 -2'
_cell_length_a 4.0067
_cell_length_b 4.0454
_cell_length_c 9.8388
_cell_angle_alpha 90.00
_cell_angle_beta 90.00
_cell_angle_gamma 90.00
loop_
_atom_site_label
_atom_site_type_symbol
_atom_site_fract_x
_atom_site_fract_y
_atom_site_fract_z
Ce1 Ce 0.0000 0.0000 0.0000
Co1 Co 0.0000 0.0000 0.3696
Ge1 Ge 0.0000 0.5000 0.2536
Ir1 Ir 0.0000 0.0000 0.6085
```